The following is a PBE calculation of crystalline Nd2SmTm3Se6 at its relaxed geometry, from the Alexandria database.

Structure (POSCAR):
```
Nd2SmTm3Se6
1.0
9.0541 -2.0248 0.0000
9.0541 2.0248 0.0000
-2.2634 0.0000 8.0655
Nd Sm Tm Se
2 1 3 6
direct
0.1671 0.1671 0.3339
0.8329 0.8329 0.6661
0.5000 0.5000 0.0000
0.1676 0.1676 0.8334
0.5000 0.5000 0.5000
0.8324 0.8324 0.1666
0.0047 0.0047 0.7418
0.3304 0.3304 0.9291
0.3380 0.3380 0.4053
0.6620 0.6620 0.5947
0.6696 0.6696 0.0709
0.9953 0.9953 0.2582
```

Properties
spin magnetization = 0.00 μB/f.u.
SG = C2/m, No. 12
theoretical density = 7.970 Mg/m³
formation energy without anion corrections = -1.756 eV per atom


The following is a PBE calculation of crystalline CuTe2 at its relaxed geometry, from the Alexandria database.

Structure (POSCAR):
```
CuTe2
1.0
11.1494 0.0000 0.0000
0.0000 4.1392 0.0000
0.0000 0.0000 6.7433
Cu Te
4 8
direct
0.1421 0.2500 0.1310
0.3579 0.7500 0.6310
0.6421 0.2500 0.3690
0.8579 0.7500 0.8690
0.0234 0.2500 0.7834
0.2166 0.2500 0.5122
0.2834 0.7500 0.0122
0.4766 0.7500 0.2834
0.5234 0.2500 0.7166
0.7166 0.2500 0.9878
0.7834 0.7500 0.4878
0.9766 0.7500 0.2166
```

Properties
spin magnetization = 0.00 μB/f.u.
SG = Pnma, No. 62
theoretical density = 6.803 Mg/m³
formation energy without anion corrections = 0.012 eV per atom


The following is a PBE calculation of crystalline Dy2HfGe2Rh5 at its relaxed geometry, from the Alexandria database.

Structure (POSCAR):
```
Dy2HfGe2Rh5
1.0
9.8144 0.0000 0.0000
0.0000 9.8144 0.0000
0.0000 0.0000 3.6385
Dy Hf Ge Rh
4 2 4 10
direct
0.1733 0.3267 0.0000
0.3267 0.8267 0.0000
0.6733 0.1733 0.0000
0.8267 0.6733 0.0000
0.0000 0.0000 0.0000
0.5000 0.5000 0.0000
0.1244 0.6244 0.0000
0.3756 0.1244 0.0000
0.6244 0.8756 0.0000
0.8756 0.3756 0.0000
0.0000 0.5000 0.5000
0.0676 0.7912 0.5000
0.2088 0.0676 0.5000
0.2912 0.5676 0.5000
0.4324 0.2912 0.5000
0.5000 0.0000 0.5000
0.5676 0.7088 0.5000
0.7088 0.4324 0.5000
0.7912 0.9324 0.5000
0.9324 0.2088 0.5000
```

Properties
spin magnetization = 0.00 μB/f.u.
energy of formation from the pure elements = -0.887 eV per atom
SG = P4/mbm, No. 127
theoretical density = 11.024 Mg/m³